--- 1 ---
Below is crystalline Ag2SbTe2 at its relaxed geometry, with properties calculated at the PBE level.

POSCAR file:
```
Ag2SbTe2
1.0
-0.5928 0.7776 -3.9356
-1.7756 -3.6183 -0.4475
-8.1765 1.8019 -0.5017
Te Ag Sb
2 2 1
Direct
0.3870 0.3870 0.2261
0.6130 0.6130 0.7739
0.2500 0.7500 0.5000
0.7500 0.2500 0.5000
0.0000 0.0000 0.0000
```

Computed properties:
Fermi-level density of states   0.579 states/eV per atom
Space-group type   I4/mmm (139)

=====

--- 2 ---
Below is crystalline Ag2SbTe2 at its relaxed geometry, with properties calculated at the PBE level.

POSCAR file:
```
Ag2SbTe2
1.0
-0.8789 1.6215 -4.5640
2.5261 -3.2757 -1.6503
-6.2474 -3.0295 0.1268
Te Sb Ag
2 1 2
Direct
0.7000 0.8036 0.1516
0.2000 0.2700 0.7168
0.2000 0.1763 0.1332
0.7000 0.0594 0.5529
0.2000 0.6906 0.4455
```

Computed properties:
Fermi-level density of states   0.297 states/eV per atom
Space-group type   Pm (6)

=====

2 ends up most stable, edging out the next structure by 124 meV/atom.

=====

--- 1 ---
Below is crystalline Ag2SbTe2 at its relaxed geometry, with properties calculated at the PBE level.

POSCAR file:
```
Ag2SbTe2
1.0
-7.1913 1.0657 4.1148
1.2425 -7.2065 4.0379
1.8308 1.8412 2.7227
Ag Sb Te
4 2 4
Direct
0.3791 0.1209 0.5000
0.6209 0.8791 0.5000
0.8791 0.3791 0.5000
0.1209 0.6209 0.5000
0.5000 0.5000 0.0000
0.0000 0.0000 0.0000
0.3167 0.8167 0.0000
0.6833 0.1833 0.0000
0.1833 0.3167 0.0000
0.8167 0.6833 0.0000
```

Computed properties:
Fermi-level density of states   0.368 states/eV per atom
Space-group type   P4/mbm (127)

=====

--- 2 ---
Below is crystalline Ag2SbTe2 at its relaxed geometry, with properties calculated at the PBE level.

POSCAR file:
```
Ag2SbTe2
1.0
4.6635 -0.0197 0.0178
-2.3690 6.4048 -2.6771
0.0343 0.7734 9.7590
Ag Sb Te
4 2 4
Direct
0.9570 0.9186 0.6459
0.3207 0.6421 0.5052
0.6793 0.3579 0.4948
0.0430 0.0814 0.3541
0.6840 0.3717 0.0337
0.3160 0.6283 0.9663
0.5370 0.0644 0.1941
0.1649 0.3335 0.6571
0.4630 0.9356 0.8059
0.8351 0.6665 0.3429
```

Computed properties:
Fermi-level density of states   0.348 states/eV per atom
Space-group type   P-1 (2)

=====

2 ends up most stable, edging out the next structure by 134 meV/atom.

=====

--- 1 ---
Below is crystalline AgSbTe at its relaxed geometry, with properties calculated at the PBE level.

POSCAR file:
```
AgSbTe
1.0
4.1359 0.0000 0.0000
2.0680 6.2634 -1.1783
2.0680 -0.1334 6.4370
Te Sb Ag
2 2 2
Direct
0.7146 0.6956 0.8752
0.2854 0.3044 0.1248
0.3031 0.8145 0.5793
0.6969 0.1855 0.4207
0.0068 0.7502 0.2363
0.9932 0.2498 0.7637
```

Computed properties:
Fermi-level density of states   0.285 states/eV per atom
Space-group type   C2/m (12)

=====

--- 2 ---
Below is crystalline AgSbTe at its relaxed geometry, with properties calculated at the PBE level.

POSCAR file:
```
AgSbTe
1.0
-1.5980 -0.1110 -2.8931
-1.3174 -1.4342 2.6728
-4.0148 7.2985 1.9375
Te Ag Sb
1 1 1
Direct
0.3333 0.6667 0.7227
0.0000 0.0000 0.0035
0.6667 0.3333 0.2738
```

Computed properties:
Fermi-level density of states   0.987 states/eV per atom
Space-group type   P3m1 (156)

=====

--- 3 ---
Below is crystalline AgSbTe at its relaxed geometry, with properties calculated at the PBE level.

POSCAR file:
```
AgSbTe
1.0
5.5279 0.0000 0.0000
-2.7640 4.7873 0.0000
0.0000 0.0000 3.0593
Ag Sb Te
1 1 1
Direct
0.0000 0.0000 0.6661
0.3333 0.6667 0.6667
0.6667 0.3333 0.6672
```

Computed properties:
Fermi-level density of states   0.365 states/eV per atom
Space-group type   P-6m2 (187)

=====

--- 4 ---
Below is crystalline AgSbTe at its relaxed geometry, with properties calculated at the PBE level.

POSCAR file:
```
AgSbTe
1.0
8.5575 0.1692 -0.1340
7.7841 3.2304 -0.0502
0.7734 -0.6208 2.9987
Sb Te Ag
1 1 1
Direct
0.3604 0.3604 0.6396
0.6430 0.6430 0.3570
0.9966 0.9966 0.0034
```

Computed properties:
Fermi-level density of states   0.733 states/eV per atom
Space-group type   Fmm2 (42)

=====

1 ends up most stable, edging out the next structure by 173 meV/atom.